No. 1
Below is an optimized crystal structure of Na2LiScF6, with properties calculated at the GGA-PBEsol level.

a b c (Å): 5.5863 5.5863 5.5863
angles (deg): 60.00 60.00 60.00
Last column: nearest neighbours and their distance in Å.
Fractional positions:
Na 0.2500 0.2500 0.2500  12 F 2.79
Na 0.7500 0.7500 0.7500  12 F 2.79
Li 0.0000 0.0000 0.0000  6 F 1.96
Sc 0.5000 0.5000 0.5000  6 F 1.99
F 0.2481 0.2481 0.7519  1 Li 1.96, 1 Sc 1.99
F 0.2481 0.7519 0.2481  1 Li 1.96, 1 Sc 1.99
F 0.2481 0.7519 0.7519  1 Li 1.96, 1 Sc 1.99
F 0.7519 0.2481 0.2481  1 Li 1.96, 1 Sc 1.99
F 0.7519 0.2481 0.7519  1 Li 1.96, 1 Sc 1.99
F 0.7519 0.7519 0.2481  1 Li 1.96, 1 Sc 1.99

ΔE_f (raw) ... -3245 meV/atom
Calculated total energy ... -0.2035 hartree per atom

---

No. 2
Below is an optimized crystal structure of Ti3Bi6WO18, with properties calculated at the GGA-PBEsol level.

a b c (Å): 5.3614 5.3965 12.7597
angles (deg): 90.15 101.92 90.03
Last column: nearest neighbours and their distance in Å.
Fractional positions:
Ti 0.0000 0.0000 0.0000  3 O 1.78-1.93
Ti 0.1709 0.0078 0.3491  3 O 1.80-1.90
Ti 0.4985 0.4973 0.9983  3 O 1.77-1.94
Bi 0.0793 0.5483 0.1631  5 O 2.28-2.42
Bi 0.2774 0.5581 0.5743  4 O 2.21-2.41
Bi 0.4151 0.0589 0.7809  4 O 2.21-2.44
Bi 0.5747 0.0415 0.1639  5 O 2.31-2.46
Bi 0.8150 0.0491 0.5745  5 O 2.21-2.44
Bi 0.8763 0.5535 0.7809  4 O 2.23-2.41
W 0.6668 0.4981 0.3484  5 O 1.83-2.02
O 0.0884 0.7873 0.6792  4 Bi 2.21-2.44
O 0.0989 0.2890 0.6782  4 Bi 2.21-2.41
O 0.1634 0.9617 0.1824  2 Ti 2.13-2.32, 2 Bi 2.28-2.31
O 0.1769 0.9774 0.4902  1 Ti 1.80
O 0.2018 0.6811 0.0095  2 Ti 1.90-2.02
O 0.3093 0.1822 0.0096  2 Ti 1.91-2.00
O 0.3842 0.6865 0.3548  1 W 1.84
O 0.4764 0.1927 0.3560  1 Ti 1.90, 1 W 1.95
O 0.4870 0.4938 0.8586  1 Ti 1.77
O 0.5196 0.4628 0.1843  1 W 2.09, 1 Bi 2.31
O 0.5880 0.7891 0.6750  4 Bi 2.23-2.40
O 0.5985 0.2903 0.6751  4 Bi 2.21-2.41
O 0.7402 0.7631 0.0462  2 Ti 1.94-2.06
O 0.8040 0.2649 0.0448  2 Ti 1.93-2.05
O 0.8110 0.4954 0.4916  1 W 1.83
O 0.8658 0.7574 0.3105  1 W 1.88, 1 Ti 2.10
O 0.8736 0.9946 0.8599  1 Ti 1.78
O 0.9329 0.2664 0.3128  1 Ti 1.88, 1 W 2.02

ΔE_f (raw) ... -2016 meV/atom
Calculated total energy ... -0.2828 hartree per atom

---

No. 3
Below is an optimized crystal structure of Cs2AuI, with properties calculated at the GGA-PBEsol level.

a b c (Å): 8.7221 8.7221 8.7221
angles (deg): 90.00 90.00 90.00
Last column: nearest neighbours and their distance in Å.
Fractional positions:
Cs 0.2500 0.2500 0.2500  4 I 3.78, 4 Au 3.78
Cs 0.2500 0.2500 0.7500  4 I 3.78, 4 Au 3.78
Cs 0.2500 0.7500 0.2500  4 I 3.78, 4 Au 3.78
Cs 0.2500 0.7500 0.7500  4 I 3.78, 4 Au 3.78
Cs 0.7500 0.2500 0.2500  4 I 3.78, 4 Au 3.78
Cs 0.7500 0.2500 0.7500  4 I 3.78, 4 Au 3.78
Cs 0.7500 0.7500 0.2500  4 I 3.78, 4 Au 3.78
Cs 0.7500 0.7500 0.7500  4 I 3.78, 4 Au 3.78
Au 0.0000 0.0000 0.0000  8 Cs 3.78
Au 0.0000 0.5000 0.5000  8 Cs 3.78
Au 0.5000 0.0000 0.5000  8 Cs 3.78
Au 0.5000 0.5000 0.0000  8 Cs 3.78
I 0.0000 0.0000 0.5000  8 Cs 3.78
I 0.0000 0.5000 0.0000  8 Cs 3.78
I 0.5000 0.0000 0.0000  8 Cs 3.78
I 0.5000 0.5000 0.5000  8 Cs 3.78

ΔE_f (raw) ... -830 meV/atom
Distance to the lowest polymorph of the same formula ... 0.0 kJ/mol of atoms
Calculated total energy ... -0.1001 hartree per atom

---

No. 4
Below is an optimized crystal structure of KZn2Pb, with properties calculated at the GGA-PBEsol level.

a b c (Å): 3.7922 3.7922 7.4100
angles (deg): 90.00 90.00 90.00
Last column: nearest neighbours and their distance in Å.
Fractional positions:
K 0.0000 0.0000 0.0000  8 Zn 3.53, 2 Pb 3.71, 4 K 3.79
Zn 0.5000 0.5000 0.3101  1 Zn 2.81, 4 Pb 3.03
Zn 0.5000 0.5000 0.6899  1 Zn 2.81, 4 Pb 3.03
Pb 0.0000 0.0000 0.5000  8 Zn 3.03

Distance to the lowest polymorph of the same formula ... 0.0 kJ/mol of atoms
Calculated total energy ... -0.0690 hartree per atom

---

No. 5
Below is an optimized crystal structure of Zr7Te, with properties calculated at the GGA-PBEsol level.

a b c (Å): 6.2567 6.2567 6.2567
angles (deg): 60.00 60.00 60.00
Last column: nearest neighbours and their distance in Å.
Fractional positions:
Zr 0.0000 0.0000 0.0000  12 Zr 3.13
Zr 0.0000 0.0000 0.5000  10 Zr 3.13, 2 Te 3.13
Zr 0.0000 0.5000 0.0000  10 Zr 3.13, 2 Te 3.13
Zr 0.0000 0.5000 0.5000  10 Zr 3.13, 2 Te 3.13
Zr 0.5000 0.0000 0.0000  10 Zr 3.13, 2 Te 3.13
Zr 0.5000 0.0000 0.5000  10 Zr 3.13, 2 Te 3.13
Zr 0.5000 0.5000 0.0000  10 Zr 3.13, 2 Te 3.13
Te 0.5000 0.5000 0.5000  12 Zr 3.13

ΔE_f (raw) ... -206 meV/atom
Calculated total energy ... -0.3160 hartree per atom

---

No. 6
Below is an optimized crystal structure of MnHgS2, with properties calculated at the GGA-PBEsol level.

a b c (Å): 3.1804 3.1804 26.3585
angles (deg): 90.00 90.00 120.00
Last column: nearest neighbours and their distance in Å.
Fractional positions:
Mn 0.0000 0.0000 0.0000  6 S 2.28
Mn 0.3333 0.6667 0.6667  6 S 2.28
Mn 0.6667 0.3333 0.3333  6 S 2.28
Hg 0.0000 0.0000 0.5000  2 S 3.04, 6 Hg 3.18
Hg 0.3333 0.6667 0.1667  2 S 3.04, 6 Hg 3.18
Hg 0.6667 0.3333 0.8333  2 S 3.04, 6 Hg 3.18
S 0.0000 0.0000 0.3848  3 Mn 2.28
S 0.0000 0.0000 0.6152  3 Mn 2.28
S 0.3333 0.6667 0.0514  3 Mn 2.28
S 0.3333 0.6667 0.2819  3 Mn 2.28
S 0.6667 0.3333 0.7181  3 Mn 2.28
S 0.6667 0.3333 0.9486  3 Mn 2.28

ΔE_f (raw) ... -406 meV/atom
Distance to the lowest polymorph of the same formula ... 0.0 kJ/mol of atoms
Calculated total energy ... -0.1903 hartree per atom

---

No. 7
Below is an optimized crystal structure of Na3VSi4H2O12, with properties calculated at the GGA-PBEsol level.

a b c (Å): 7.5056 8.7107 9.0335
angles (deg): 62.56 83.66 88.22
Last column: nearest neighbours and their distance in Å.
Fractional positions:
Na 0.1342 0.1024 0.1763  5 O 2.31-2.49
Na 0.1620 0.6547 0.5745  5 O 2.36-2.58
Na 0.3526 0.7625 0.8740  4 O 2.26-2.41
Na 0.6474 0.2375 0.1260  4 O 2.26-2.41
Na 0.8380 0.3453 0.4255  5 O 2.36-2.58
Na 0.8658 0.8976 0.8237  5 O 2.31-2.49
V 0.0000 0.5000 0.0000  6 O 1.96-2.05
V 0.5000 0.0000 0.0000  6 O 1.96-2.09
Si 0.1018 0.7540 0.1696  4 O 1.60-1.69
Si 0.2362 0.4107 0.3039  4 O 1.60-1.67
Si 0.2799 0.2091 0.6801  4 O 1.61-1.65
Si 0.3838 0.4064 0.8475  4 O 1.61-1.67
Si 0.6162 0.5936 0.1525  4 O 1.61-1.67
Si 0.7201 0.7909 0.3199  4 O 1.61-1.65
Si 0.7638 0.5893 0.6961  4 O 1.60-1.67
Si 0.8982 0.2460 0.8304  4 O 1.60-1.69
H 0.3006 0.0320 0.4594  1 O 0.99
H 0.4059 0.9400 0.3572  1 O 1.02
H 0.5941 0.0600 0.6428  1 O 1.02
H 0.6994 0.9680 0.5406  1 O 0.99
O 0.0550 0.7119 0.0219  1 Si 1.61
O 0.0690 0.1609 0.7623  2 Si 1.65-1.66
O 0.1000 0.3417 0.2224  1 Si 1.60
O 0.1409 0.5676 0.3396  2 Si 1.67-1.69
O 0.2317 0.5335 0.8649  1 Si 1.61
O 0.2702 0.8841 0.1156  1 Si 1.60
O 0.2798 0.2480 0.4835  2 Si 1.65
O 0.2915 0.9361 0.4310  2 H 0.99-1.02
O 0.3434 0.3904 0.6766  2 Si 1.65-1.67
O 0.3995 0.2168 0.0011  1 Si 1.61
O 0.4132 0.0530 0.7689  1 Si 1.61, 1 H 1.66
O 0.4271 0.4837 0.1896  2 Si 1.63-1.65
O 0.5729 0.5163 0.8104  2 Si 1.63-1.65
O 0.5868 0.9470 0.2311  1 Si 1.61, 1 H 1.66
O 0.6005 0.7832 0.9989  1 Si 1.61
O 0.6566 0.6096 0.3234  2 Si 1.65-1.67
O 0.7085 0.0639 0.5690  2 H 0.99-1.02
O 0.7202 0.7520 0.5165  2 Si 1.65
O 0.7298 0.1159 0.8844  1 Si 1.60
O 0.7683 0.4665 0.1351  1 Si 1.61
O 0.8591 0.4324 0.6604  2 Si 1.67-1.69
O 0.9000 0.6583 0.7776  1 Si 1.60
O 0.9310 0.8391 0.2377  2 Si 1.65-1.66
O 0.9450 0.2881 0.9781  1 Si 1.61

Calculated total energy ... -0.2634 hartree per atom

---

No. 8
Below is an optimized crystal structure of LiTa2Ag, with properties calculated at the GGA-PBEsol level.

a b c (Å): 2.8589 4.9422 9.2226
angles (deg): 90.00 90.00 90.00
Last column: nearest neighbours and their distance in Å.
Fractional positions:
Li 0.0000 0.0000 0.0000  2 Ag 2.46
Li 0.5000 0.5000 0.5000  2 Ag 2.46
Ta 0.0000 0.0000 0.5165  4 Ta 2.75-2.86, 2 Ag 2.84, 4 Li 2.86
Ta 0.0000 0.5000 0.7616  4 Ta 2.75-2.86, 2 Li 2.80, 4 Ag 2.86
Ta 0.5000 0.0000 0.2616  4 Ta 2.75-2.86, 2 Li 2.80, 4 Ag 2.86
Ta 0.5000 0.5000 0.0165  4 Ta 2.75-2.86, 2 Ag 2.84, 4 Li 2.86
Ag 0.0000 0.5000 0.2832  2 Li 2.46
Ag 0.5000 0.0000 0.7832  2 Li 2.46

Distance to the lowest polymorph of the same formula ... 8.1 kJ/mol of atoms
Calculated total energy ... -0.2638 hartree per atom

---

No. 9
Below is an optimized crystal structure of LiCu4Au, with properties calculated at the GGA-PBEsol level.

a b c (Å): 4.7899 4.7899 4.7899
angles (deg): 60.00 60.00 60.00
Last column: nearest neighbours and their distance in Å.
Fractional positions:
Li 0.0000 0.0000 0.0000  12 Cu 2.81, 4 Au 2.93
Cu 0.3749 0.3749 0.3749  6 Cu 2.39-2.40
Cu 0.3749 0.3749 0.8754  6 Cu 2.39-2.40
Cu 0.3749 0.8754 0.3749  6 Cu 2.39-2.40
Cu 0.8754 0.3749 0.3749  6 Cu 2.39-2.40
Au 0.7500 0.7500 0.7500  12 Cu 2.81, 4 Li 2.93

Calculated total energy ... -0.1452 hartree per atom

---

No. 10
Below is an optimized crystal structure of SnBi3Ru, with properties calculated at the GGA-PBEsol level.

a b c (Å): 5.6043 5.6043 5.6043
angles (deg): 90.00 90.00 90.00
Last column: nearest neighbours and their distance in Å.
Fractional positions:
Sn 0.0000 0.0000 0.0000  6 Bi 2.80
Bi 0.0000 0.0000 0.5000  2 Sn 2.80
Bi 0.0000 0.5000 0.0000  2 Sn 2.80
Bi 0.5000 0.0000 0.0000  2 Sn 2.80
Ru 0.5000 0.5000 0.5000  12 Bi 3.96

Calculated total energy ... -0.1384 hartree per atom

---

No. 11
Below is an optimized crystal structure of HgPb2, with properties calculated at the GGA-PBEsol level.

a b c (Å): 7.4786 7.4786 5.9537
angles (deg): 90.00 90.00 90.00
Last column: nearest neighbours and their distance in Å.
Fractional positions:
Hg 0.0000 0.0000 0.2500  2 Hg 2.98, 8 Pb 3.19
Hg 0.0000 0.0000 0.7500  2 Hg 2.98, 8 Pb 3.19
Hg 0.5000 0.5000 0.2500  2 Hg 2.98, 8 Pb 3.19
Hg 0.5000 0.5000 0.7500  2 Hg 2.98, 8 Pb 3.19
Pb 0.1560 0.3440 0.0000  4 Hg 3.19, 1 Pb 3.30
Pb 0.1560 0.6560 0.5000  4 Hg 3.19, 1 Pb 3.30
Pb 0.3440 0.1560 0.5000  4 Hg 3.19, 1 Pb 3.30
Pb 0.3440 0.8440 0.0000  4 Hg 3.19, 1 Pb 3.30
Pb 0.6560 0.1560 0.0000  4 Hg 3.19, 1 Pb 3.30
Pb 0.6560 0.8440 0.5000  4 Hg 3.19, 1 Pb 3.30
Pb 0.8440 0.3440 0.5000  4 Hg 3.19, 1 Pb 3.30
Pb 0.8440 0.6560 0.0000  4 Hg 3.19, 1 Pb 3.30

Distance to the lowest polymorph of the same formula ... 2.4 kJ/mol of atoms
Calculated total energy ... -0.1041 hartree per atom

---

No. 12
Below is an optimized crystal structure of TbSiPd2, with properties calculated at the GGA-PBEsol level.

a b c (Å): 7.2684 6.8861 5.4746
angles (deg): 90.00 90.00 90.00
Last column: nearest neighbours and their distance in Å.
Fractional positions:
Tb 0.0289 0.2500 0.1410  3 Si 2.94-2.98, 8 Pd 2.95-3.17
Tb 0.4711 0.7500 0.6410  3 Si 2.94-2.98, 8 Pd 2.95-3.17
Tb 0.5289 0.2500 0.3590  3 Si 2.94-2.98, 8 Pd 2.95-3.17
Tb 0.9711 0.7500 0.8590  3 Si 2.94-2.98, 8 Pd 2.95-3.17
Si 0.1214 0.7500 0.3572  6 Pd 2.47-2.58
Si 0.3786 0.2500 0.8572  6 Pd 2.47-2.58
Si 0.6214 0.7500 0.1428  6 Pd 2.47-2.58
Si 0.8786 0.2500 0.6428  6 Pd 2.47-2.58
Pd 0.1772 0.0521 0.5934  3 Si 2.47-2.58, 1 Pd 2.73
Pd 0.1772 0.4479 0.5934  3 Si 2.47-2.58, 1 Pd 2.73
Pd 0.3228 0.5521 0.0934  3 Si 2.47-2.58, 1 Pd 2.73
Pd 0.3228 0.9479 0.0934  3 Si 2.47-2.58, 1 Pd 2.73
Pd 0.6772 0.0521 0.9066  3 Si 2.47-2.58, 1 Pd 2.73
Pd 0.6772 0.4479 0.9066  3 Si 2.47-2.58, 1 Pd 2.73
Pd 0.8228 0.5521 0.4066  3 Si 2.47-2.58, 1 Pd 2.73
Pd 0.8228 0.9479 0.4066  3 Si 2.47-2.58, 1 Pd 2.73

ΔE_f (raw) ... -1024 meV/atom
Calculated total energy ... -0.2460 hartree per atom